1.
The following is a GGA-PBE calculation of crystalline NaTl12Hg6 at its relaxed geometry, from the Alexandria database.

The space group is R-3 (No. 148, hexagonal axes) and the conventional cell measures 14.7847, 14.7847 and 8.7468 Å, with angles of 90.00, 90.00 and 120.00 degrees. The inequivalent atoms are Na at (0.0000, 0.0000, 0.0000), Tl at (0.0106, 0.8710, 0.6654), Tl at (0.0674, 0.5021, 0.6653) and Hg at (0.0320, 0.7534, 0.3392).

The energy of formation comes out at 0.00 eV per atom. The value obtained for the total energy is -1.660 eV per atom. The theoretical density is 11.07 g cm⁻³. The crystal system is trigonal. The offset from the most stable computed form comes out at 11 meV per atom.

***

2.
The following is a GGA-PBE calculation of crystalline Pr2OsC at its relaxed geometry, from the Alexandria database.

The space group is Immm (No. 71) and the conventional cell measures 3.7694, 3.9223 and 13.8714 Å, with angles of 90.00, 90.00 and 90.00 degrees. The inequivalent atoms are Pr at (0.0000, 0.0000, 0.1253), Os at (0.0000, 0.0000, 0.5000) and C at (0.0000, 0.5000, 0.5000).

The energy of formation comes out at -0.09 eV per atom. The value obtained for the total energy is -7.598 eV per atom. The theoretical density is 7.84 g cm⁻³. The crystal system is orthorhombic. The offset from the most stable computed form comes out at 0 meV per atom.

***

3.
The following is a GGA-PBE calculation of crystalline LiCd2RhI at its relaxed geometry, from the Alexandria database.

The space group is P4/mmm (No. 123) and the conventional cell measures 6.0056, 6.0056 and 4.9139 Å, with angles of 90.00, 90.00 and 90.00 degrees. The inequivalent atoms are Li at (0.0000, 0.0000, 0.0000), Cd at (0.0000, 0.5000, 0.5000), Rh at (0.5000, 0.5000, 0.0000) and I at (0.5000, 0.5000, 0.5000).

Its uncorrected formation energy is 0.724 eV/atom. The value obtained for the total energy is -1.805 eV per atom. The theoretical density is 4.32 g cm⁻³. The crystal system is tetragonal.

***

4.
The following is a GGA-PBE calculation of crystalline LaPH2Rh at its relaxed geometry, from the Alexandria database.

The space group is Cmcm (No. 63) and the conventional cell measures 3.8593, 10.4562 and 6.6328 Å, with angles of 90.00, 90.00 and 90.00 degrees. The inequivalent atoms are La at (0.0000, 0.2188, 0.2500), P at (0.0000, 0.0567, 0.7500), H at (0.0000, 0.3403, 0.5564) and Rh at (0.0000, 0.5000, 0.0000).

The value obtained for the total energy is -5.599 eV per atom. The theoretical density is 6.82 g cm⁻³. The crystal system is orthorhombic. The offset from the most stable computed form comes out at 0 meV per atom.